KRbAl2I8 | PBE | optimized geometry

Properties
**Size of the total moment**: 0.00 μB/cell
**Theoretical density**: 3.41 Mg/m³
**E**: -2.807 eV/atom
**ΔE_f (raw)**: -978 meV per atom

a = 7.788 Å, b = 7.788 Å, c = 11.947 Å
α = 70.98°, β = 70.98°, γ = 60.00°
Positions (direct):
I: 0.166 0.166 0.500
I: 0.318 0.934 0.195
I: 0.682 0.066 0.805
I: 0.934 0.554 0.195
I: 0.066 0.446 0.805
I: 0.554 0.318 0.195
I: 0.834 0.834 0.500
I: 0.446 0.682 0.805
K: 0.000 0.000 0.000
Rb: 0.500 0.500 0.500
Al: 0.757 0.757 0.730
Al: 0.243 0.243 0.270